No. 1
## SrCa2Bi2 (PBE)

Data for SrCa2Bi2 after structural relaxation.

Calculated values
Space group: No. 127
Final energy (eV per atom): -3.442
V (Å³/atom): 35.1
Formation enthalpy at 0 K (meV/atom): -752
DOS(E_F) (states/eV per atom): 0.33

a = 9.1695 Å, b = 9.1695 Å, c = 4.1722 Å
α = 90.00°, β = 90.00°, γ = 90.00°
Last column: nearest neighbours and their distance in Å.
Sites, in units of the cell vectors:
Sr: 0.5000 0.5000 0.0000  4 Bi 3.43
Sr: 0.0000 0.0000 0.0000  4 Bi 3.43
Bi: 0.1630 0.3370 0.0000  6 Ca 3.32-3.46, 2 Sr 3.43
Bi: 0.6630 0.1630 0.0000  6 Ca 3.32-3.46, 2 Sr 3.43
Bi: 0.8370 0.6630 0.0000  6 Ca 3.32-3.46, 2 Sr 3.43
Bi: 0.3370 0.8370 0.0000  6 Ca 3.32-3.46, 2 Sr 3.43
Ca: 0.1375 0.6375 0.5000  6 Bi 3.32-3.46, 1 Ca 3.57
Ca: 0.6375 0.8625 0.5000  6 Bi 3.32-3.46, 1 Ca 3.57
Ca: 0.8625 0.3625 0.5000  6 Bi 3.32-3.46, 1 Ca 3.57
Ca: 0.3625 0.1375 0.5000  6 Bi 3.32-3.46, 1 Ca 3.57

No. 2
## ZrSiW2 (PBE)

Data for ZrSiW2 after structural relaxation.

Calculated values
Space group: No. 65
Final energy (eV per atom): -9.925
V (Å³/atom): 16.7
ΔE_f (raw) (eV/atom): 0.04
DOS(E_F) (states/eV per atom): 0.41

a = 2.8771 Å, b = 2.8771 Å, c = 8.5065 Å
α = 90.00°, β = 90.00°, γ = 108.31°
Last column: nearest neighbours and their distance in Å.
Sites, in units of the cell vectors:
Zr: 0.5000 0.5000 0.2500  4 Zr 2.88, 4 W 2.92
W: 0.0000 0.0000 0.5299  2 Si 2.52
W: 0.0000 0.0000 0.9701  2 Si 2.52
Si: 0.5000 0.5000 0.7500  4 W 2.52

No. 3
## ReAs2Pb (PBE)

Data for ReAs2Pb after structural relaxation.

Calculated values
Space group: No. 35
Final energy (eV per atom): -5.708
V (Å³/atom): 20.9
Formation enthalpy at 0 K (meV/atom): 656
DOS(E_F) (states/eV per atom): 0.65

a = 3.0405 Å, b = 3.0405 Å, c = 10.0449 Å
α = 90.00°, β = 90.00°, γ = 115.79°
Last column: nearest neighbours and their distance in Å.
Sites, in units of the cell vectors:
As: 0.0000 0.0000 0.9617  2 Re 2.44
As: 0.5000 0.5000 0.2388  8 As 3.04-3.23, 2 Pb 3.26
Pb: 0.0000 0.0000 0.5202  6 Pb 3.04-3.23, 2 Re 3.06, 2 As 3.26
Re: 0.5000 0.5000 0.7793  2 As 2.44

No. 4
## K3Na9Hg2 (PBE)

Data for K3Na9Hg2 after structural relaxation.

Calculated values
Space group: No. 71
Final energy (eV per atom): -1.183
V (Å³/atom): 39.7
Formation enthalpy at 0 K (meV/atom): -56
DOS(E_F) (states/eV per atom): 0.38

a = 5.5198 Å, b = 10.4242 Å, c = 10.4242 Å
α = 82.27°, β = 74.65°, γ = 74.65°
Last column: nearest neighbours and their distance in Å.
Sites, in units of the cell vectors:
Na: 0.6348 0.7215 0.0089  1 Hg 3.29, 3 Na 3.40-3.66
Na: 0.8756 0.4125 0.8362  2 Hg 3.37, 5 Na 3.40-3.66
Na: 0.3652 0.9911 0.2785  1 Hg 3.29, 3 Na 3.40-3.66
Na: 0.0000 0.5000 0.5000  4 Na 3.43, 4 Hg 3.57
Na: 0.1244 0.1638 0.5875  2 Hg 3.37, 5 Na 3.40-3.66
Na: 0.3652 0.2785 0.9911  1 Hg 3.29, 3 Na 3.40-3.66
Na: 0.1244 0.5875 0.1638  2 Hg 3.37, 5 Na 3.40-3.66
Na: 0.6348 0.0089 0.7215  1 Hg 3.29, 3 Na 3.40-3.66
Na: 0.8756 0.8362 0.4125  2 Hg 3.37, 5 Na 3.40-3.66
Hg: 0.5000 0.3352 0.6648  8 Na 3.29-3.57, 2 K 3.65
Hg: 0.5000 0.6648 0.3352  8 Na 3.29-3.57, 2 K 3.65
K: 0.3052 0.6948 0.6948  2 Hg 3.65, 2 Na 3.98
K: 0.6948 0.3052 0.3052  2 Hg 3.65, 2 Na 3.98
K: 0.0000 0.0000 0.0000  12 Na 3.93-4.35